Version A
Density functional theory data (PBE) for crystalline VRePS2 at its relaxed geometry.

a = 4.627 Å, b = 4.627 Å, c = 4.605 Å
α = 90.00°, β = 90.00°, γ = 90.00°
Sites, in units of the cell vectors:
Re  0.000  0.000  0.000
S  0.000  0.500  0.000
S  0.500  0.000  0.000
P  0.000  0.000  0.500
V  0.500  0.500  0.500

Calculated values
Fermi-level density of states ... 8.12 states/eV per cell
Volume ... 19.7 Å³/atom
Space-group type ... P4/mmm (123)
Total moment ... 0.043 μB/f.u.


Version B
Density functional theory data (PBE) for crystalline VRePS2 at its relaxed geometry.

a = 4.420 Å, b = 4.420 Å, c = 4.801 Å
α = 90.00°, β = 90.00°, γ = 90.00°
Sites, in units of the cell vectors:
Re  0.500  0.500  0.500
S  0.000  0.500  0.000
S  0.500  0.000  0.000
P  0.000  0.000  0.500
V  0.000  0.000  0.000

Calculated values
Fermi-level density of states ... 3.75 states/eV per cell
Volume ... 18.8 Å³/atom
Space-group type ... P4/mmm (123)
Total moment ... 4.477 μB/f.u.


Which of the structures shown above is the most stable? The most stable is version A.